(1)
{
  "formula": "LiZn10Cu2",
  "functional": "PBE",
  "state": "optimized geometry",
  "lattice": [[0.000, 6.161, 6.221], [2.556, 0.000, 6.221], [2.556, 6.161, 0.000]],
  "species": ["Li", "Zn", "Zn", "Zn", "Zn", "Zn", "Zn", "Zn", "Zn", "Zn", "Zn", "Cu", "Cu"],
  "fractional_positions": [[0.000, 0.000, 0.000], [0.000, 0.500, 0.000], [0.008, 0.655, 0.345], [0.285, 0.504, 0.496], [0.345, 0.992, 0.008], [0.496, 0.715, 0.285], [0.500, 0.000, 0.500], [0.504, 0.285, 0.715], [0.655, 0.008, 0.992], [0.715, 0.496, 0.504], [0.992, 0.345, 0.655], [0.000, 0.000, 0.500], [0.500, 0.500, 0.000]],
  "sg": "Fmmm, No. 69",
  "m_tot_mub_per_fu": 0.000,
  "formation_energy_ev_per_atom": -0.061,
  "final_energy_ev_per_atom": -1.818
}

(2)
{
  "formula": "PrTiIr",
  "functional": "PBE",
  "state": "optimized geometry",
  "lattice": [[4.454, 0.000, 0.000], [0.000, 4.454, 0.000], [0.000, 0.000, 6.739]],
  "species": ["Pr", "Pr", "Ti", "Ti", "Ir", "Ir"],
  "fractional_positions": [[0.250, 0.250, 0.141], [0.750, 0.750, 0.859], [0.250, 0.750, 0.500], [0.750, 0.250, 0.500], [0.250, 0.250, 0.692], [0.750, 0.750, 0.308]],
  "sg": "P4/nmm, No. 129",
  "m_tot_mub_per_fu": 0.000,
  "formation_energy_ev_per_atom": -0.639,
  "final_energy_ev_per_atom": -7.818
}

(3)
{
  "formula": "ScCoBr",
  "functional": "PBE",
  "state": "optimized geometry",
  "lattice": [[3.418, 0.000, 0.000], [-1.709, 2.960, 0.000], [0.000, 0.000, 6.199]],
  "species": ["Sc", "Co", "Br"],
  "fractional_positions": [[0.000, 0.000, 0.000], [0.333, 0.667, 0.729], [0.667, 0.333, 0.315]],
  "sg": "P3m1, No. 156",
  "m_tot_mub_per_fu": 0.897,
  "final_energy_ev_per_atom": -5.281,
  "raw_formation_energy_ev_per_atom": -0.244
}

(4)
{
  "formula": "CuAgTe2N",
  "functional": "PBE",
  "state": "optimized geometry",
  "lattice": [[5.568, 0.000, 0.000], [0.000, 5.568, 0.000], [0.000, 0.000, 3.828]],
  "species": ["Cu", "Ag", "Te", "Te", "N"],
  "fractional_positions": [[0.000, 0.000, 0.000], [0.500, 0.500, 0.500], [0.000, 0.500, 0.500], [0.500, 0.000, 0.500], [0.500, 0.500, 0.000]],
  "sg": "P4/mmm, No. 123",
  "m_tot_mub_per_fu": 0.000,
  "final_energy_ev_per_atom": -2.996,
  "raw_formation_energy_ev_per_atom": 1.315
}

(5)
{
  "formula": "Ta2AlGa",
  "functional": "PBE",
  "state": "optimized geometry",
  "lattice": [[4.007, 0.000, 0.000], [0.000, 4.007, 0.000], [0.000, 0.000, 4.167]],
  "species": ["Ta", "Ta", "Al", "Ga"],
  "fractional_positions": [[0.000, 0.500, 0.000], [0.500, 0.000, 0.000], [0.000, 0.000, 0.500], [0.500, 0.500, 0.500]],
  "sg": "P4/mmm, No. 123",
  "m_tot_mub_per_fu": 0.000,
  "formation_energy_ev_per_atom": -0.167,
  "final_energy_ev_per_atom": -7.786
}

(6)
{
  "formula": "BeCd2BPt6",
  "functional": "PBE",
  "state": "optimized geometry",
  "lattice": [[2.803, 1.618, 5.990], [-2.803, 1.618, 5.990], [0.000, -3.236, 5.990]],
  "species": ["Be", "Cd", "Cd", "B", "Pt", "Pt", "Pt", "Pt", "Pt", "Pt"],
  "fractional_positions": [[0.000, 0.000, 0.000], [0.290, 0.290, 0.290], [0.710, 0.710, 0.710], [0.500, 0.500, 0.500], [0.228, 0.743, 0.743], [0.257, 0.257, 0.772], [0.257, 0.772, 0.257], [0.743, 0.228, 0.743], [0.743, 0.743, 0.228], [0.772, 0.257, 0.257]],
  "sg": "R-3m, No. 166",
  "m_tot_mub_per_fu": 0.000,
  "formation_energy_ev_per_atom": -0.268,
  "final_energy_ev_per_atom": -5.116
}

(7)
{
  "formula": "AcLaPrHo",
  "functional": "PBE",
  "state": "optimized geometry",
  "lattice": [[3.776, 0.000, 0.000], [-1.888, 3.270, 0.000], [0.000, 0.000, 12.097]],
  "species": ["Ac", "La", "Pr", "Ho"],
  "fractional_positions": [[0.000, 0.000, 0.000], [0.667, 0.333, 0.511], [0.333, 0.667, 0.261], [0.333, 0.667, 0.751]],
  "sg": "P3m1, No. 156",
  "m_tot_mub_per_fu": 0.000,
  "formation_energy_ev_per_atom": 0.051,
  "final_energy_ev_per_atom": -4.547
}

(8)
{
  "formula": "SrLa4Fe",
  "functional": "PBE",
  "state": "optimized geometry",
  "lattice": [[0.000, 4.743, 4.743], [4.743, 0.000, 4.743], [4.743, 4.743, 0.000]],
  "species": ["Sr", "La", "La", "La", "La", "Fe"],
  "fractional_positions": [[0.000, 0.000, 0.000], [0.379, 0.379, 0.379], [0.379, 0.379, 0.862], [0.379, 0.862, 0.379], [0.862, 0.379, 0.379], [0.750, 0.750, 0.750]],
  "sg": "F-43m, No. 216",
  "m_tot_mub_per_fu": 2.637,
  "formation_energy_ev_per_atom": 0.648,
  "final_energy_ev_per_atom": -4.328
}

(9)
{
  "formula": "NiAuN2",
  "functional": "PBE",
  "state": "optimized geometry",
  "lattice": [[1.453, 0.839, 6.041], [-1.453, 0.839, 6.041], [0.000, -1.678, 6.041]],
  "species": ["Ni", "Au", "N", "N"],
  "fractional_positions": [[0.000, 0.000, 0.000], [0.500, 0.500, 0.500], [0.387, 0.387, 0.387], [0.613, 0.613, 0.613]],
  "sg": "R-3m, No. 166",
  "m_tot_mub_per_fu": 0.000,
  "final_energy_ev_per_atom": -5.708,
  "raw_formation_energy_ev_per_atom": 0.719
}